A relaxed structure of Pm3TiB2N6, computed with PBE.

a = 5.414 Å, b = 5.414 Å, c = 6.124 Å
α = 90.00°, β = 90.00°, γ = 120.00°
Element x y z (fractional)
N (0.821, 0.179, 0.706)
Pm (0.000, 0.000, 0.000)
N (0.358, 0.179, 0.706)
Pm (0.667, 0.333, 0.338)
B (0.333, 0.667, 0.258)
N (0.179, 0.358, 0.294)
Pm (0.333, 0.667, 0.662)
Ti (0.000, 0.000, 0.500)
N (0.179, 0.821, 0.294)
N (0.642, 0.821, 0.294)
B (0.667, 0.333, 0.742)
N (0.821, 0.642, 0.706)

Output
The space-group type is P-3m1. Its total moment is 0.00 μB/f.u. For the electronic total energy, the calculation gives -8.327 eV/atom. Its formation energy without anion corrections is -1206 meV per atom. As for the density of states at the Fermi level: 1.932 states/eV/f.u.